(1)
## Rb2ScAsCl (meta-GGA SCAN)

Data for a crystal of Rb2ScAsCl relaxed with PBEsol.

Magnetic moment = 1.00 μB/cell
Energy above the most stable polymorph in this dataset = 0 meV/atom
E_form (uncorrected) = -748.6 meV per atom

CIF file:
```
data_Rb2ScAsCl
_chemical_formula_sum 'Rb2 Sc1 As1 Cl1'
_cell_length_a 6.658
_cell_length_b 6.658
_cell_length_c 5.009
_cell_angle_alpha 90.00
_cell_angle_beta 90.00
_cell_angle_gamma 90.00
_space_group_name_H-M_alt 'P 4/m m m'
_space_group_IT_number 123
_space_group_name_Hall '-P 4 2'
loop_
_atom_site_label
_atom_site_type_symbol
_atom_site_fract_x
_atom_site_fract_y
_atom_site_fract_z
Rb1 Rb 0.000 0.500 0.000
Sc1 Sc 0.000 0.000 0.500
As1 As 0.000 0.000 0.000
Cl1 Cl 0.500 0.500 0.500
```

---

(2)
## RbSrAs2Cl (meta-GGA SCAN)

Data for a crystal of RbSrAs2Cl relaxed with PBEsol.

Magnetic moment = 0.00 μB/cell
E_form (uncorrected) = -261.5 meV per atom

CIF file:
```
data_RbSrAs2Cl
_chemical_formula_sum 'Rb1 Sr1 As2 Cl1'
_cell_length_a 5.413
_cell_length_b 5.413
_cell_length_c 5.221
_cell_angle_alpha 90.00
_cell_angle_beta 90.00
_cell_angle_gamma 90.00
_space_group_name_H-M_alt 'P 4/m m m'
_space_group_IT_number 123
_space_group_name_Hall '-P 4 2'
loop_
_atom_site_label
_atom_site_type_symbol
_atom_site_fract_x
_atom_site_fract_y
_atom_site_fract_z
Rb1 Rb 0.000 0.000 0.000
Sr1 Sr 0.500 0.500 0.000
As1 As 0.000 0.500 0.500
Cl1 Cl 0.500 0.500 0.500
```

---

(3)
## ReAsCl2 (meta-GGA SCAN)

Data for a crystal of ReAsCl2 relaxed with PBEsol.

Magnetic moment = 1.16 μB/cell
Energy above the most stable polymorph in this dataset = 0 meV/atom
E_form (uncorrected) = 879.0 meV per atom

CIF file:
```
data_ReAsCl2
_chemical_formula_sum 'Re2 As2 Cl4'
_cell_length_a 5.463
_cell_length_b 8.626
_cell_length_c 3.392
_cell_angle_alpha 90.00
_cell_angle_beta 124.12
_cell_angle_gamma 90.00
_space_group_name_H-M_alt 'C 1 2/m 1'
_space_group_IT_number 12
loop_
_space_group_symop_operation_xyz
'x,y,z'
'-x,-y,-z'
'-x,y,-z'
'x,-y,z'
'x+1/2,y+1/2,z'
'-x+1/2,-y+1/2,-z'
'-x+1/2,y+1/2,-z'
'x+1/2,-y+1/2,z'
loop_
_atom_site_label
_atom_site_type_symbol
_atom_site_fract_x
_atom_site_fract_y
_atom_site_fract_z
Re1 Re 0.000 0.000 0.000
As1 As 0.000 0.500 0.000
Cl1 Cl 0.250 0.250 0.500
```